(1)
Density functional theory data (PBE-GGA) for crystalline AcSb2Au at its relaxed geometry.

```
AcSb2Au
1.0
4.367 0.000 0.000
0.000 4.367 0.000
0.000 0.000 6.278
Ac Sb Au
1 2 1
Direct
0.000 0.000 0.000
0.500 0.500 0.267
0.500 0.500 0.733
0.000 0.000 0.500
```

Properties
E_form (uncorrected): -0.343 eV/atom
ΔE to the lowest computed polymorph: 37.5 kJ/mol of atoms

---

(2)
Density functional theory data (PBE-GGA) for crystalline KPSeBr2 at its relaxed geometry.

```
KPSeBr2
1.0
5.767 0.000 0.000
0.000 5.767 0.000
0.000 0.000 5.979
K P Se Br
1 1 1 2
Direct
0.000 0.000 0.000
0.500 0.500 0.500
0.000 0.000 0.500
0.000 0.500 0.000
0.500 0.000 0.000
```

Properties
E_form (uncorrected): 0.905 eV/atom
ΔE to the lowest computed polymorph: 137.8 kJ/mol of atoms

---

(3)
Density functional theory data (PBE-GGA) for crystalline ZrReTe2 at its relaxed geometry.

```
ZrReTe2
1.0
0.000 3.435 3.435
3.435 0.000 3.435
3.435 3.435 0.000
Zr Re Te
1 1 2
Direct
0.000 0.000 0.000
0.500 0.500 0.500
0.250 0.250 0.250
0.750 0.750 0.750
```

Properties
E_form (uncorrected): 0.189 eV/atom
ΔE to the lowest computed polymorph: 39.2 kJ/mol of atoms

---

(4)
Density functional theory data (PBE-GGA) for crystalline TaBe2Tc at its relaxed geometry.

```
TaBe2Tc
1.0
0.000 2.902 2.902
2.902 0.000 2.902
2.902 2.902 0.000
Ta Be Tc
1 2 1
Direct
0.000 0.000 0.000
0.250 0.250 0.250
0.750 0.750 0.750
0.500 0.500 0.500
```

Properties
ΔE to the lowest computed polymorph: 35.0 kJ/mol of atoms

---

Repeat the second record exactly.
Density functional theory data (PBE-GGA) for crystalline KPSeBr2 at its relaxed geometry.

```
KPSeBr2
1.0
5.767 0.000 0.000
0.000 5.767 0.000
0.000 0.000 5.979
K P Se Br
1 1 1 2
Direct
0.000 0.000 0.000
0.500 0.500 0.500
0.000 0.000 0.500
0.000 0.500 0.000
0.500 0.000 0.000
```

Properties
E_form (uncorrected): 0.905 eV/atom
ΔE to the lowest computed polymorph: 137.8 kJ/mol of atoms